Density functional theory data (GGA-PBEsol) for an optimized crystal structure of Pr3CoBr3.

a b c (Å): 11.7096 11.7096 11.7096
angles (deg): 90.00 90.00 90.00
Closest atoms and distances in Å follow each position.
Space group I4_132 (No. 214)
Asymmetric unit:
1 Pr 0.1088 0.3588 0.1250 [24 per cell]  2 Co 2.74, 2 Br 3.06
2 Co 0.1250 0.1250 0.1250 [8 per cell]  6 Pr 2.74
3 Br 0.1156 0.1344 0.6250 [24 per cell]  4 Pr 3.06-3.13

Calculated values
**Magnetic moment**: 0.00 μB/cell
**Crystal system**: cubic
**Uncorrected formation energy**: -1.177 eV per atom

---

Density functional theory data (GGA-PBEsol) for an optimized crystal structure of Pr6CoBr10.

a b c (Å): 7.5159 9.2052 9.4022
angles (deg): 109.54 106.72 97.12
Closest atoms and distances in Å follow each position.
Space group P-1 (No. 2)
Asymmetric unit:
1 Pr 0.0240 0.3969 0.1917 [2 per cell]  1 Co 2.80, 5 Br 2.90-3.11
2 Pr 0.1229 0.2606 0.5429 [2 per cell]  1 Co 2.60
3 Pr 0.3733 0.6926 0.6444 [2 per cell]  1 Co 2.80, 5 Br 2.89-3.12
4 Co 0.0000 0.5000 0.5000 [1 per cell]  6 Pr 2.60-2.80
5 Br 0.0887 0.3250 0.8657 [2 per cell]  3 Pr 2.96-3.11
6 Br 0.1953 0.1346 0.2327 [2 per cell]  3 Pr 2.96-3.12
7 Br 0.2585 0.9640 0.5823 [2 per cell]  3 Pr 2.92-3.13
8 Br 0.3729 0.7796 0.9693 [2 per cell]  2 Pr 2.89-2.90
9 Br 0.4495 0.5812 0.3231 [2 per cell]  4 Pr 3.05-3.10

Calculated values
**Magnetic moment**: 0.01 μB/cell
**Crystal system**: triclinic
**Uncorrected formation energy**: -1.539 eV per atom

---

Density functional theory data (GGA-PBEsol) for an optimized crystal structure of CoPtBr2.

a b c (Å): 3.6172 3.6172 21.4201
angles (deg): 90.00 90.00 120.00
Closest atoms and distances in Å follow each position.
Space group R3m (No. 160, hexagonal axes)
Asymmetric unit:
1 Co 0.0000 0.0000 0.0000 [3 per cell]  3 Br 2.40, 3 Pt 2.44
2 Pt 0.0000 0.0000 0.7254 [3 per cell]  3 Co 2.44, 3 Br 2.58
3 Br 0.0000 0.0000 0.2781 [3 per cell]  3 Co 2.40
4 Br 0.0000 0.0000 0.4628 [3 per cell]  3 Pt 2.58

Calculated values
**Magnetic moment**: 1.75 μB/cell
**Crystal system**: trigonal
**Uncorrected formation energy**: 0.044 eV per atom

---

Density functional theory data (GGA-PBEsol) for an optimized crystal structure of CoPtBr2.

a b c (Å): 6.5669 6.5669 6.5669
angles (deg): 90.00 90.00 90.00
Closest atoms and distances in Å follow each position.
Space group F-43m (No. 216)
Asymmetric unit:
1 Co 0.0000 0.0000 0.0000 [4 per cell]  4 Pt 2.84, 4 Br 2.84
2 Pt 0.2500 0.2500 0.7500 [4 per cell]  4 Co 2.84, 4 Br 2.84
3 Br 0.0000 0.0000 0.5000 [4 per cell]  4 Br 2.84, 4 Pt 2.84
4 Br 0.2500 0.2500 0.2500 [4 per cell]  4 Co 2.84, 4 Br 2.84

Calculated values
**Magnetic moment**: 10.59 μB/cell
**Crystal system**: cubic
**Uncorrected formation energy**: 0.960 eV per atom

---

Which formula does entry 4 have? CoPtBr2

---

uncorrected formation energy of number 4 (CoPtBr2)? 0.960 eV per atom

---

uncorrected formation energy of number 4 (CoPtBr2)? 0.960 eV per atom

---

Which of these has the lowest magnetic moment? Pr3CoBr3